DFT (PBE) results for a geometry-optimized CaPmHg2 structure.

Results
- mass density (kg/m³) = 8871
- calculated total energy (eV/atom) = -2.376
- crystal system = tetragonal

abc: 3.794 5.378 5.378
angles: 90.00 90.00 90.00
Positions (direct):
Ca1 0.500 0.000 0.000
Hg1 0.000 0.500 0.000
Hg2 0.000 0.000 0.500
Pm1 0.500 0.500 0.500


DFT (PBE) results for a geometry-optimized Ca3PmHg2 structure.

Results
- mass density (kg/m³) = 5990
- calculated total energy (eV/atom) = -2.262
- crystal system = orthorhombic

abc: 5.155 7.284 9.839
angles: 90.00 90.00 90.00
Positions (direct):
Ca1 0.500 0.159 0.818
Ca2 0.000 0.470 0.933
Ca3 0.000 0.843 0.684
Ca4 0.500 0.659 0.182
Ca5 0.000 0.970 0.067
Ca6 0.000 0.343 0.316
Hg1 0.000 0.273 0.630
Hg2 0.500 0.226 0.140
Hg3 0.500 0.726 0.860
Hg4 0.000 0.773 0.370
Pm1 0.500 0.029 0.439
Pm2 0.500 0.529 0.561


DFT (PBE) results for a geometry-optimized CaPmHg2 structure.

Results
- mass density (kg/m³) = 8925
- calculated total energy (eV/atom) = -2.387
- crystal system = cubic

abc: 5.363 5.363 5.363
angles: 60.00 60.00 60.00
Positions (direct):
Pm1 0.250 0.250 0.250
Hg1 0.500 0.500 0.500
Hg2 0.000 0.000 0.000
Ca1 0.750 0.750 0.750


DFT (PBE) results for a geometry-optimized CaPm2Hg7 structure.

Results
- mass density (kg/m³) = 10622
- calculated total energy (eV/atom) = -1.680
- crystal system = trigonal

abc: 5.054 5.054 12.254
angles: 90.00 90.00 120.00
Positions (direct):
Hg1 0.667 0.333 0.775
Hg2 0.000 0.000 0.519
Hg3 0.667 0.333 0.055
Hg4 0.333 0.667 0.897
Hg5 0.000 0.000 0.238
Hg6 0.333 0.667 0.407
Hg7 0.333 0.667 0.150
Pm1 0.667 0.333 0.330
Pm2 0.333 0.667 0.650
Ca1 0.000 0.000 0.963


DFT (PBE) results for a geometry-optimized Ca3Pm2Hg3 structure.

Results
- mass density (kg/m³) = 7103
- calculated total energy (eV/atom) = -2.445
- crystal system = orthorhombic

abc: 3.810 5.455 11.858
angles: 103.30 99.25 90.00
Positions (direct):
Hg1 0.880 0.880 0.761
Hg2 0.120 0.120 0.239
Hg3 0.000 0.500 0.000
Pm1 0.269 0.769 0.538
Pm2 0.731 0.231 0.462
Ca1 0.382 0.382 0.765
Ca2 0.618 0.618 0.235
Ca3 0.500 0.000 0.000


DFT (PBE) results for a geometry-optimized CaPmHg3 structure.

Results
- mass density (kg/m³) = 9835
- calculated total energy (eV/atom) = -1.975
- crystal system = orthorhombic
- relative energy among the computed polymorphs (meV per atom) = 0

abc: 3.608 5.008 14.819
angles: 90.00 96.99 90.00
Positions (direct):
Pm1 0.075 0.250 0.151
Pm2 0.925 0.750 0.849
Hg1 0.524 0.750 0.047
Hg2 0.476 0.250 0.953
Hg3 0.679 0.250 0.358
Hg4 0.379 0.250 0.757
Hg5 0.621 0.750 0.243
Hg6 0.321 0.750 0.642
Ca1 0.210 0.750 0.419
Ca2 0.790 0.250 0.581


DFT (PBE) results for a geometry-optimized CaPm3Hg5 structure.

Results
- mass density (kg/m³) = 10001
- calculated total energy (eV/atom) = -2.408
- crystal system = hexagonal

abc: 6.612 9.258 9.258
angles: 120.00 90.00 90.00
Positions (direct):
Hg1 0.000 0.667 0.333
Hg2 0.750 0.698 0.698
Hg3 0.500 0.333 0.667
Hg4 0.250 0.302 0.302
Hg5 0.750 0.302 0.000
Hg6 0.250 0.698 0.000
Hg7 0.250 0.000 0.698
Hg8 0.000 0.333 0.667
Hg9 0.500 0.667 0.333
Hg10 0.750 0.000 0.302
Pm1 0.250 0.635 0.635
Pm2 0.750 0.365 0.365
Pm3 0.250 0.000 0.365
Pm4 0.750 0.000 0.635
Pm5 0.250 0.365 0.000
Pm6 0.750 0.635 0.000
Ca1 0.000 0.000 0.000
Ca2 0.500 0.000 0.000


DFT (PBE) results for a geometry-optimized CaPmHg structure.

Results
- mass density (kg/m³) = 6932
- calculated total energy (eV/atom) = -2.550
- crystal system = trigonal
- relative energy among the computed polymorphs (meV per atom) = 112

abc: 3.873 5.248 5.248
angles: 120.00 90.00 90.00
Positions (direct):
Hg1 0.331 0.333 0.667
Pm1 0.066 0.000 0.000
Ca1 0.603 0.667 0.333


Energy of formation from the pure elements for every record listed, in sequence, given in eV/atom: -0.537 -0.368 -0.548 -0.318 -0.393 -0.444 -0.434 -0.199.